Zr2CrTcH | GGA-PBE | optimized geometry

Values from the calculation:
**Space-group type**: No. 123
**ΔE to the lowest computed polymorph**: 0 meV per atom

a b c (Å): 4.630 4.630 3.377
angles (deg): 90.00 90.00 90.00
Positions (direct):
Zr  0.000  0.500  0.000
Zr  0.500  0.000  0.000
Cr  0.000  0.000  0.500
Tc  0.500  0.500  0.500
H  0.000  0.000  0.000

=====

Cr2TeH | GGA-PBE | optimized geometry

Values from the calculation:
**Space-group type**: No. 225
**ΔE to the lowest computed polymorph**: 336 meV per atom

a b c (Å): 4.302 4.302 4.302
angles (deg): 60.00 60.00 60.00
Positions (direct):
Cr  0.250  0.250  0.250
Cr  0.750  0.750  0.750
Te  0.000  0.000  0.000
H  0.500  0.500  0.500

=====

CrTeH | GGA-PBE | optimized geometry

Values from the calculation:
**Space-group type**: No. 129

a b c (Å): 3.738 3.738 6.963
angles (deg): 90.00 90.00 90.00
Positions (direct):
Cr  0.250  0.750  0.000
Cr  0.750  0.250  0.000
Te  0.250  0.250  0.281
Te  0.750  0.750  0.719
H  0.250  0.250  0.924
H  0.750  0.750  0.076

=====

CrTeH3 | GGA-PBE | optimized geometry

Values from the calculation:
**Space-group type**: No. 221
**ΔE to the lowest computed polymorph**: 534 meV per atom

a b c (Å): 4.121 4.121 4.121
angles (deg): 90.00 90.00 90.00
Positions (direct):
Cr  0.000  0.000  0.000
Te  0.500  0.500  0.500
H  0.000  0.500  0.500
H  0.500  0.000  0.500
H  0.500  0.500  0.000

=====

CrTeH3 | GGA-PBE | optimized geometry

Values from the calculation:
**Space-group type**: No. 221
**ΔE to the lowest computed polymorph**: 0 meV per atom

a b c (Å): 3.655 3.655 3.655
angles (deg): 90.00 90.00 90.00
Positions (direct):
Cr  0.000  0.000  0.000
Te  0.500  0.500  0.500
H  0.000  0.000  0.500
H  0.000  0.500  0.000
H  0.500  0.000  0.000

=====

CrTeH | GGA-PBE | optimized geometry

Values from the calculation:
**Space-group type**: No. 12

a b c (Å): 7.887 7.887 4.578
angles (deg): 101.54 101.54 22.63
Positions (direct):
Cr  0.248  0.248  0.249
Cr  0.752  0.752  0.751
Te  0.383  0.383  0.678
Te  0.617  0.617  0.322
H  0.202  0.202  0.861
H  0.798  0.798  0.139

=====

Cr2TeH | GGA-PBE | optimized geometry

Values from the calculation:
**Space-group type**: No. 122
**ΔE to the lowest computed polymorph**: 0 meV per atom

a b c (Å): 6.080 6.080 6.080
angles (deg): 136.34 136.34 63.45
Positions (direct):
Cr  0.375  0.172  0.297
Cr  0.828  0.125  0.203
Cr  0.875  0.078  0.703
Cr  0.922  0.625  0.797
Te  0.250  0.750  0.500
Te  0.500  0.500  0.000
H  0.000  0.000  0.000
H  0.750  0.250  0.500

=====

CrTe2H2 | GGA-PBE | optimized geometry

Values from the calculation:
**Space-group type**: No. 2

a b c (Å): 4.547 6.592 7.312
angles (deg): 63.35 84.54 75.70
Positions (direct):
Cr  0.064  0.200  0.477
Cr  0.936  0.800  0.523
Te  0.113  0.342  0.768
Te  0.414  0.777  0.736
Te  0.586  0.223  0.264
Te  0.887  0.658  0.232
H  0.140  0.004  0.372
H  0.160  0.773  0.305
H  0.840  0.227  0.695
H  0.860  0.996  0.628

=====

TlCr2TeH | GGA-PBE | optimized geometry

Values from the calculation:
**Space-group type**: No. 123

a b c (Å): 5.403 5.403 5.853
angles (deg): 90.00 90.00 90.00
Positions (direct):
Tl  0.000  0.000  0.000
Cr  0.000  0.500  0.000
Cr  0.500  0.000  0.000
Te  0.000  0.000  0.500
H  0.500  0.500  0.500

=====

TiCrH2 | GGA-PBE | optimized geometry

Values from the calculation:
**Space-group type**: No. 225
**ΔE to the lowest computed polymorph**: 452 meV per atom

a b c (Å): 3.602 3.602 3.602
angles (deg): 60.00 60.00 60.00
Positions (direct):
Ti  0.000  0.000  0.000
Cr  0.500  0.500  0.500
H  0.250  0.250  0.250
H  0.750  0.750  0.750

=====

Ti2CrH | GGA-PBE | optimized geometry

Values from the calculation:
**Space-group type**: No. 225
**ΔE to the lowest computed polymorph**: 487 meV per atom

a b c (Å): 4.135 4.135 4.135
angles (deg): 60.00 60.00 60.00
Positions (direct):
Ti  0.250  0.250  0.250
Ti  0.750  0.750  0.750
Cr  0.000  0.000  0.000
H  0.500  0.500  0.500

=====

Ti2CrH6 | GGA-PBE | optimized geometry

Values from the calculation:
**Space-group type**: No. 71

a b c (Å): 5.287 5.287 5.287
angles (deg): 146.76 132.34 59.34
Positions (direct):
Ti  0.163  0.163  0.000
Ti  0.837  0.837  0.000
Cr  0.500  0.500  0.000
H  0.102  0.339  0.764
H  0.272  0.000  0.272
H  0.425  0.661  0.764
H  0.575  0.339  0.236
H  0.728  0.000  0.728
H  0.898  0.661  0.236

=====

| no. | raw total energy (eV/f.u.) |
| --- | --- |
| 1 | -41.3 |
| 2 | -23.0 |
| 3 | -16.1 |
| 4 | -17.7 |
| 5 | -20.3 |
| 6 | -16.1 |
| 7 | -24.3 |
| 8 | -22.1 |
| 9 | -20.0 |
| 10 | -23.0 |
| 11 | -26.8 |
| 12 | -48.5 |